MnNi3P4O16 (PBE with a Hubbard U, optimized geometry); total magnetic moment = 6.94 μB per cell; raw total energy = -6.49 eV/atom
1.0
5.7623 0.0000 0.0000
0.0000 4.7939 -0.0070
0.0000 0.0167 9.8718
P O Ni Mn
4 16 3 1
Direct
0.5000 0.3844 0.9071 P
0.0000 0.8978 0.5893 P
0.5000 0.1104 0.4104 P
0.0000 0.6122 0.0934 P
0.0000 0.2959 0.1142 O
0.5000 0.1754 0.5653 O
0.5000 0.7004 0.8788 O
0.7895 0.7491 0.6647 O
0.7083 0.2610 0.3392 O
0.0000 0.6654 0.9403 O
0.5000 0.3335 0.0581 O
0.2089 0.7629 0.1648 O
0.2105 0.7491 0.6647 O
0.7051 0.2272 0.8321 O
0.7911 0.7629 0.1648 O
0.5000 0.7947 0.3932 O
0.2917 0.2610 0.3392 O
0.0000 0.8205 0.4393 O
0.2949 0.2272 0.8321 O
0.0000 0.2117 0.6080 O
0.0000 0.0564 0.2748 Ni
0.5000 0.5565 0.2298 Ni
0.0000 0.4400 0.7718 Ni
0.5000 0.9446 0.7246 Mn